# 1
First-principles (GGA-PBE) data for a geometry-optimized HfAlFeRe structure, as listed in Alexandria.

Output
Final energy in eV/atom: -8.834
ρ in g/cm³: 12.21

Cell: 6.2433 6.2433 6.2433 Å, 90.00 90.00 90.00°
Last column: nearest neighbours and their distance in Å.
Space group F-43m (No. 216)
Inequivalent atoms, fractional coordinates:
Hf  0.0000  0.0000  0.0000  4 Fe 2.70, 4 Re 2.70
Al  0.0000  0.0000  0.5000  4 Fe 2.70, 4 Re 2.70
Fe  0.2500  0.2500  0.2500  4 Hf 2.70, 4 Al 2.70
Re  0.2500  0.2500  0.7500  4 Hf 2.70, 4 Al 2.70

---

# 2
First-principles (GGA-PBE) data for a geometry-optimized Hf2AlFeSi structure, as listed in Alexandria.

Output
Formation energy (no corrections) in eV per atom: 0.18
Final energy in eV/atom: -7.328
ρ in g/cm³: 7.99

Cell: 4.6889 4.6889 4.4225 Å, 90.00 90.00 90.00°
Last column: nearest neighbours and their distance in Å.
Space group P4/mmm (No. 123)
Inequivalent atoms, fractional coordinates:
Hf  0.0000  0.5000  0.0000  2 Fe 2.34
Al  0.0000  0.0000  0.5000  2 Fe 2.21
Fe  0.0000  0.0000  0.0000  2 Al 2.21, 4 Hf 2.34
Si  0.5000  0.5000  0.5000  8 Hf 3.22, 4 Al 3.32

---

# 3
First-principles (GGA-PBE) data for a geometry-optimized Hf2AlFe5Si2 structure, as listed in Alexandria.

Output
Formation energy (no corrections) in eV per atom: -0.45
Final energy in eV/atom: -8.129
ρ in g/cm³: 9.05

Cell: 9.1980 9.1980 3.1203 Å, 90.00 90.00 90.00°
Last column: nearest neighbours and their distance in Å.
Space group P4/mbm (No. 127)
Inequivalent atoms, fractional coordinates:
Hf  0.1742  0.3258  0.0000  3 Si 2.62-2.78, 10 Fe 2.75-2.91
Al  0.0000  0.0000  0.0000  8 Fe 2.54
Fe  0.0000  0.5000  0.5000  4 Si 2.25
Fe  0.0651  0.7918  0.5000  2 Si 2.26
Si  0.1242  0.6242  0.0000  6 Fe 2.25-2.26

---

# 4
First-principles (GGA-PBE) data for a geometry-optimized HfTiAl2Fe structure, as listed in Alexandria.

Output
Final energy in eV/atom: -6.669
ρ in g/cm³: 6.37

Cell: 4.4506 4.4506 4.4230 Å, 90.00 90.00 90.00°
Last column: nearest neighbours and their distance in Å.
Space group P4/mmm (No. 123)
Inequivalent atoms, fractional coordinates:
Hf  0.0000  0.0000  0.0000  8 Al 3.14, 4 Ti 3.15
Ti  0.5000  0.5000  0.0000  2 Fe 2.21
Al  0.0000  0.5000  0.5000  2 Fe 2.23
Fe  0.5000  0.5000  0.5000  2 Ti 2.21, 4 Al 2.23

---

Record-wise V values, in Å³/atom: 15.2, 19.4, 13.2, 17.5